# LiAg2Hg | the Alexandria database | PBEsol | optimized geometry
# magnetization = 0.00 μB/cell
# raw total energy = -19.30 eV/cell
# DFT formation energy = -0.124 eV/atom
data_LiAg2Hg
_chemical_formula_sum 'Li2 Ag4 Hg2'
_symmetry_space_group_name_H-M 'C 1 2/m 1'
_symmetry_Int_Tables_number 12
_symmetry_space_group_name_Hall '-C 2y'
_cell_length_a 5.610
_cell_length_b 9.611
_cell_length_c 2.923
_cell_angle_alpha 90.00
_cell_angle_beta 117.96
_cell_angle_gamma 90.00
loop_
_atom_site_label
_atom_site_fract_x
_atom_site_fract_y
_atom_site_fract_z
Li1 0.000 0.000 0.000
Ag1 0.250 0.250 0.500
Hg1 0.000 0.500 0.000

=====

# LiAgHg2 | the Alexandria database | PBEsol | optimized geometry
# magnetization = 0.00 μB/cell
# raw total energy = -7.34 eV/cell
# DFT formation energy = -0.232 eV/atom
data_LiAgHg2
_chemical_formula_sum 'Li1 Ag1 Hg2'
_symmetry_space_group_name_H-M 'P m m m'
_symmetry_Int_Tables_number 47
_symmetry_space_group_name_Hall '-P 2 2'
_cell_length_a 3.286
_cell_length_b 3.441
_cell_length_c 6.392
_cell_angle_alpha 90.00
_cell_angle_beta 90.00
_cell_angle_gamma 90.00
loop_
_atom_site_label
_atom_site_fract_x
_atom_site_fract_y
_atom_site_fract_z
Li1 0.000 0.000 0.000
Ag1 0.000 0.000 0.500
Hg1 0.500 0.500 0.238

=====

# LiAg2Hg | the Alexandria database | PBEsol | optimized geometry
# magnetization = 0.00 μB/cell
# raw total energy = -9.80 eV/cell
# DFT formation energy = -0.162 eV/atom
data_LiAg2Hg
_chemical_formula_sum 'Li1 Ag2 Hg1'
_symmetry_space_group_name_H-M 'P 4 m m'
_symmetry_Int_Tables_number 99
_symmetry_space_group_name_Hall 'P 4 -2'
_cell_length_a 3.282
_cell_length_b 3.282
_cell_length_c 6.280
_cell_angle_alpha 90.00
_cell_angle_beta 90.00
_cell_angle_gamma 90.00
loop_
_atom_site_label
_atom_site_fract_x
_atom_site_fract_y
_atom_site_fract_z
Li1 0.000 0.000 0.000
Ag1 0.000 0.000 0.478
Ag2 0.500 0.500 0.227
Hg1 0.500 0.500 0.759

=====

# Li2Ag2Hg | the Alexandria database | PBEsol | optimized geometry
# magnetization = 0.00 μB/cell
# raw total energy = -24.06 eV/cell
# DFT formation energy = -0.181 eV/atom
data_Li2Ag2Hg
_chemical_formula_sum 'Li4 Ag4 Hg2'
_symmetry_space_group_name_H-M 'P 4/m b m'
_symmetry_Int_Tables_number 127
_symmetry_space_group_name_Hall '-P 4 2ab'
_cell_length_a 7.374
_cell_length_b 7.374
_cell_length_c 3.098
_cell_angle_alpha 90.00
_cell_angle_beta 90.00
_cell_angle_gamma 90.00
loop_
_atom_site_label
_atom_site_fract_x
_atom_site_fract_y
_atom_site_fract_z
Li1 0.166 0.334 0.000
Ag1 0.132 0.632 0.500
Hg1 0.000 0.000 0.500

=====

# LiAgHg2 | the Alexandria database | PBEsol | optimized geometry
# magnetization = 0.00 μB/cell
# raw total energy = -7.28 eV/cell
# DFT formation energy = -0.216 eV/atom
data_LiAgHg2
_chemical_formula_sum 'Li1 Ag1 Hg2'
_symmetry_space_group_name_H-M 'P 4/m m m'
_symmetry_Int_Tables_number 123
_symmetry_space_group_name_Hall '-P 4 2'
_cell_length_a 4.340
_cell_length_b 4.340
_cell_length_c 3.906
_cell_angle_alpha 90.00
_cell_angle_beta 90.00
_cell_angle_gamma 90.00
loop_
_atom_site_label
_atom_site_fract_x
_atom_site_fract_y
_atom_site_fract_z
Li1 0.000 0.000 0.000
Ag1 0.500 0.500 0.000
Hg1 0.000 0.500 0.500

=====

# MgAgHg2 | the Alexandria database | PBEsol | optimized geometry
# magnetization = 0.00 μB/cell
# raw total energy = -19.41 eV/cell
# DFT formation energy = -0.077 eV/atom
data_MgAgHg2
_chemical_formula_sum 'Mg3 Ag3 Hg6'
_symmetry_space_group_name_H-M 'R -3 m'
_symmetry_Int_Tables_number 166
_symmetry_space_group_name_Hall '-R 3 2"'
_cell_length_a 3.2134
_cell_length_b 3.2134
_cell_length_c 27.0362
_cell_angle_alpha 90.00
_cell_angle_beta 90.00
_cell_angle_gamma 120.00
loop_
_atom_site_label
_atom_site_fract_x
_atom_site_fract_y
_atom_site_fract_z
Mg1 0.0000 0.0000 0.0000
Ag1 0.0000 0.0000 0.5000
Hg1 0.0000 0.0000 0.2498

=====

# MgAgHg2 | the Alexandria database | PBEsol | optimized geometry
# magnetization = 0.00 μB/cell
# raw total energy = -6.78 eV/cell
# DFT formation energy = -0.154 eV/atom
data_MgAgHg2
_chemical_formula_sum 'Mg1 Ag1 Hg2'
_symmetry_space_group_name_H-M 'P 4/m m m'
_symmetry_Int_Tables_number 123
_symmetry_space_group_name_Hall '-P 4 2'
_cell_length_a 3.545
_cell_length_b 3.545
_cell_length_c 6.208
_cell_angle_alpha 90.00
_cell_angle_beta 90.00
_cell_angle_gamma 90.00
loop_
_atom_site_label
_atom_site_fract_x
_atom_site_fract_y
_atom_site_fract_z
Mg1 0.000 0.000 0.000
Ag1 0.000 0.000 0.500
Hg1 0.500 0.500 0.252

=====

# Mg2AgHg | the Alexandria database | PBEsol | optimized geometry
# magnetization = 0.00 μB/cell
# raw total energy = -16.30 eV/cell
# DFT formation energy = -0.209 eV/atom
data_Mg2AgHg
_chemical_formula_sum 'Mg4 Ag2 Hg2'
_symmetry_space_group_name_H-M 'I -4 m 2'
_symmetry_Int_Tables_number 119
_symmetry_space_group_name_Hall 'I -4 -2'
_cell_length_a 4.159
_cell_length_b 4.159
_cell_length_c 8.741
_cell_angle_alpha 90.00
_cell_angle_beta 90.00
_cell_angle_gamma 90.00
loop_
_atom_site_label
_atom_site_fract_x
_atom_site_fract_y
_atom_site_fract_z
Mg1 0.000 0.000 0.000
Mg2 0.000 0.500 0.250
Ag1 0.000 0.000 0.500
Hg1 0.000 0.500 0.750

=====

# MgAg2Hg | the Alexandria database | PBEsol | optimized geometry
# magnetization = 0.00 μB/cell
# raw total energy = -18.49 eV/cell
# DFT formation energy = -0.084 eV/atom
data_MgAg2Hg
_chemical_formula_sum 'Mg2 Ag4 Hg2'
_symmetry_space_group_name_H-M 'C 1 2/m 1'
_symmetry_Int_Tables_number 12
_symmetry_space_group_name_Hall '-C 2y'
_cell_length_a 5.735
_cell_length_b 9.637
_cell_length_c 2.965
_cell_angle_alpha 90.00
_cell_angle_beta 116.27
_cell_angle_gamma 90.00
loop_
_atom_site_label
_atom_site_fract_x
_atom_site_fract_y
_atom_site_fract_z
Mg1 0.000 0.000 0.000
Ag1 0.250 0.250 0.500
Hg1 0.000 0.500 0.000

=====

# MgAg2Hg | the Alexandria database | PBEsol | optimized geometry
# magnetization = 0.00 μB/cell
# raw total energy = -9.56 eV/cell
# DFT formation energy = -0.164 eV/atom
data_MgAg2Hg
_chemical_formula_sum 'Mg1 Ag2 Hg1'
_symmetry_space_group_name_H-M 'P 4/m m m'
_symmetry_Int_Tables_number 123
_symmetry_space_group_name_Hall '-P 4 2'
_cell_length_a 4.163
_cell_length_b 4.163
_cell_length_c 4.169
_cell_angle_alpha 90.00
_cell_angle_beta 90.00
_cell_angle_gamma 90.00
loop_
_atom_site_label
_atom_site_fract_x
_atom_site_fract_y
_atom_site_fract_z
Mg1 0.000 0.000 0.000
Ag1 0.000 0.500 0.500
Hg1 0.500 0.500 0.000

=====

# MgAg2Hg | the Alexandria database | PBEsol | optimized geometry
# magnetization = 0.00 μB/cell
# raw total energy = -9.45 eV/cell
# DFT formation energy = -0.135 eV/atom
data_MgAg2Hg
_chemical_formula_sum 'Mg1 Ag2 Hg1'
_symmetry_space_group_name_H-M 'P 4/m m m'
_symmetry_Int_Tables_number 123
_symmetry_space_group_name_Hall '-P 4 2'
_cell_length_a 3.412
_cell_length_b 3.412
_cell_length_c 6.249
_cell_angle_alpha 90.00
_cell_angle_beta 90.00
_cell_angle_gamma 90.00
loop_
_atom_site_label
_atom_site_fract_x
_atom_site_fract_y
_atom_site_fract_z
Mg1 0.000 0.000 0.000
Ag1 0.500 0.500 0.238
Hg1 0.000 0.000 0.500

=====

# MgAgHg2 | the Alexandria database | PBEsol | optimized geometry
# magnetization = 0.00 μB/cell
# raw total energy = -6.76 eV/cell
# DFT formation energy = -0.148 eV/atom
data_MgAgHg2
_chemical_formula_sum 'Mg1 Ag1 Hg2'
_symmetry_space_group_name_H-M 'P m m 2'
_symmetry_Int_Tables_number 25
_symmetry_space_group_name_Hall 'P 2 -2'
_cell_length_a 3.146
_cell_length_b 4.764
_cell_length_c 5.192
_cell_angle_alpha 90.00
_cell_angle_beta 90.00
_cell_angle_gamma 90.00
loop_
_atom_site_label
_atom_site_fract_x
_atom_site_fract_y
_atom_site_fract_z
Mg1 0.000 0.000 0.000
Ag1 0.000 0.500 0.661
Hg1 0.500 0.000 0.507
Hg2 0.500 0.500 0.150

=====

# MgAg2Hg | the Alexandria database | PBEsol | optimized geometry
# magnetization = 0.00 μB/cell
# raw total energy = -19.25 eV/cell
# DFT formation energy = -0.180 eV/atom
data_MgAg2Hg
_chemical_formula_sum 'Mg2 Ag4 Hg2'
_symmetry_space_group_name_H-M 'I -4 m 2'
_symmetry_Int_Tables_number 119
_symmetry_space_group_name_Hall 'I -4 -2'
_cell_length_a 4.129
_cell_length_b 4.129
_cell_length_c 8.435
_cell_angle_alpha 90.00
_cell_angle_beta 90.00
_cell_angle_gamma 90.00
loop_
_atom_site_label
_atom_site_fract_x
_atom_site_fract_y
_atom_site_fract_z
Mg1 0.000 0.000 0.000
Ag1 0.000 0.000 0.500
Ag2 0.000 0.500 0.250
Hg1 0.000 0.500 0.750

=====

# MgAg2Hg | the Alexandria database | PBEsol | optimized geometry
# magnetization = 0.00 μB/cell
# raw total energy = -9.31 eV/cell
# DFT formation energy = -0.100 eV/atom
data_MgAg2Hg
_chemical_formula_sum 'Mg1 Ag2 Hg1'
_symmetry_space_group_name_H-M 'P 1 2/m 1'
_symmetry_Int_Tables_number 10
_symmetry_space_group_name_Hall '-P 2y'
_cell_length_a 2.975
_cell_length_b 4.782
_cell_length_c 5.188
_cell_angle_alpha 90.00
_cell_angle_beta 94.36
_cell_angle_gamma 90.00
loop_
_atom_site_label
_atom_site_fract_x
_atom_site_fract_y
_atom_site_fract_z
Mg1 0.000 0.000 0.000
Ag1 0.269 0.500 0.756
Hg1 0.500 0.000 0.500

=====

# MgAgHg2 | the Alexandria database | PBEsol | optimized geometry
# magnetization = 0.00 μB/cell
# raw total energy = -13.47 eV/cell
# DFT formation energy = -0.143 eV/atom
data_MgAgHg2
_chemical_formula_sum 'Mg2 Ag2 Hg4'
_symmetry_space_group_name_H-M 'I -4 m 2'
_symmetry_Int_Tables_number 119
_symmetry_space_group_name_Hall 'I -4 -2'
_cell_length_a 4.273
_cell_length_b 4.273
_cell_length_c 8.533
_cell_angle_alpha 90.00
_cell_angle_beta 90.00
_cell_angle_gamma 90.00
loop_
_atom_site_label
_atom_site_fract_x
_atom_site_fract_y
_atom_site_fract_z
Mg1 0.000 0.000 0.000
Ag1 0.000 0.500 0.250
Hg1 0.000 0.000 0.500
Hg2 0.000 0.500 0.750

=====

# Mg2AgHg | the Alexandria database | PBEsol | optimized geometry
# magnetization = 0.00 μB/cell
# raw total energy = -8.07 eV/cell
# DFT formation energy = -0.190 eV/atom
data_Mg2AgHg
_chemical_formula_sum 'Mg2 Ag1 Hg1'
_symmetry_space_group_name_H-M 'P 4 m m'
_symmetry_Int_Tables_number 99
_symmetry_space_group_name_Hall 'P 4 -2'
_cell_length_a 3.610
_cell_length_b 3.610
_cell_length_c 5.954
_cell_angle_alpha 90.00
_cell_angle_beta 90.00
_cell_angle_gamma 90.00
loop_
_atom_site_label
_atom_site_fract_x
_atom_site_fract_y
_atom_site_fract_z
Mg1 0.000 0.000 0.000
Mg2 0.500 0.500 0.295
Ag1 0.000 0.000 0.500
Hg1 0.500 0.500 0.778

=====

# MgAg2Hg | the Alexandria database | PBEsol | optimized geometry
# magnetization = 0.00 μB/cell
# raw total energy = -19.22 eV/cell
# DFT formation energy = -0.177 eV/atom
data_MgAg2Hg
_chemical_formula_sum 'Mg2 Ag4 Hg2'
_symmetry_space_group_name_H-M 'I 4/m m m'
_symmetry_Int_Tables_number 139
_symmetry_space_group_name_Hall '-I 4 2'
_cell_length_a 4.138
_cell_length_b 4.138
_cell_length_c 8.391
_cell_angle_alpha 90.00
_cell_angle_beta 90.00
_cell_angle_gamma 90.00
loop_
_atom_site_label
_atom_site_fract_x
_atom_site_fract_y
_atom_site_fract_z
Mg1 0.000 0.000 0.000
Ag1 0.000 0.500 0.250
Hg1 0.000 0.000 0.500

=====

# MgAgHg2 | the Alexandria database | PBEsol | optimized geometry
# magnetization = 0.00 μB/cell
# raw total energy = -13.29 eV/cell
# DFT formation energy = -0.121 eV/atom
data_MgAgHg2
_chemical_formula_sum 'Mg2 Ag2 Hg4'
_symmetry_space_group_name_H-M 'C 1 2/m 1'
_symmetry_Int_Tables_number 12
_symmetry_space_group_name_Hall '-C 2y'
_cell_length_a 9.513
_cell_length_b 3.396
_cell_length_c 5.090
_cell_angle_alpha 90.00
_cell_angle_beta 103.89
_cell_angle_gamma 90.00
loop_
_atom_site_label
_atom_site_fract_x
_atom_site_fract_y
_atom_site_fract_z
Mg1 0.000 0.000 0.000
Ag1 0.000 0.500 0.500
Hg1 0.250 0.000 0.747

=====

# MgAgHg2 | the Alexandria database | PBEsol | optimized geometry
# magnetization = 0.00 μB/cell
# raw total energy = -19.29 eV/cell
# DFT formation energy = -0.067 eV/atom
data_MgAgHg2
_chemical_formula_sum 'Mg3 Ag3 Hg6'
_symmetry_space_group_name_H-M 'R 3 m'
_symmetry_Int_Tables_number 160
_symmetry_space_group_name_Hall 'R 3 -2"'
_cell_length_a 3.2112
_cell_length_b 3.2112
_cell_length_c 27.5041
_cell_angle_alpha 90.00
_cell_angle_beta 90.00
_cell_angle_gamma 120.00
loop_
_atom_site_label
_atom_site_fract_x
_atom_site_fract_y
_atom_site_fract_z
Mg1 0.0000 0.0000 0.0000
Ag1 0.0000 0.0000 0.7432
Hg1 0.0000 0.0000 0.2502
Hg2 0.0000 0.0000 0.4924

=====

# Mg2AgHg | the Alexandria database | PBEsol | optimized geometry
# magnetization = 0.00 μB/cell
# raw total energy = -16.32 eV/cell
# DFT formation energy = -0.213 eV/atom
data_Mg2AgHg
_chemical_formula_sum 'Mg4 Ag2 Hg2'
_symmetry_space_group_name_H-M 'I m m 2'
_symmetry_Int_Tables_number 44
_symmetry_space_group_name_Hall 'I 2 -2'
_cell_length_a 3.481
_cell_length_b 4.617
_cell_length_c 9.535
_cell_angle_alpha 90.00
_cell_angle_beta 90.00
_cell_angle_gamma 90.00
loop_
_atom_site_label
_atom_site_fract_x
_atom_site_fract_y
_atom_site_fract_z
Mg1 0.000 0.000 0.000
Mg2 0.000 0.500 0.228
Ag1 0.000 0.500 0.739
Hg1 0.000 0.000 0.479